A plane-wave DFT calculation with SCAN was carried out for a crystal of ZnWF5 relaxed with PBEsol.

The structure in extended XYZ format:
```
28
Lattice="4.963 0.000 0.000 0.000 10.527 0.000 -2.340 0.000 7.053" Properties=species:S:1:pos:R:3 pbc="T T T"
Zn -0.457 0.026 1.629
Zn -1.627 5.238 5.156
Zn 4.250 5.289 1.897
Zn 3.080 10.501 5.424
W 0.525 2.566 4.434
W 1.695 2.698 0.908
W 0.928 7.829 6.145
W 2.098 7.961 2.619
F -1.016 1.234 4.155
F 0.153 4.030 0.628
F 0.780 1.034 0.105
F -0.390 4.229 3.632
F 0.486 6.751 2.271
F -0.684 9.039 5.798
F 0.075 6.170 5.376
F 1.245 9.620 1.849
F 1.023 1.708 2.612
F -0.147 3.555 6.138
F 2.770 6.971 0.915
F 1.600 8.819 4.442
F 1.379 0.907 5.204
F 2.548 4.357 1.678
F 3.308 1.487 1.255
F 2.138 3.776 4.782
F 3.013 6.298 3.421
F 1.844 9.492 6.948
F 2.470 6.497 6.425
F 3.640 9.293 2.899
```

Computed properties:
Calculated density in Mg/m³: 6.20
E_form (uncorrected) in meV/atom: -2143
Symmetry: P2_1/c (14)

***

A plane-wave DFT calculation with SCAN was carried out for a crystal of ZrW3F relaxed with PBEsol.

The structure in extended XYZ format:
```
5
Lattice="4.766 0.000 0.000 0.000 4.766 0.000 0.000 0.000 4.766" Properties=species:S:1:pos:R:3 pbc="T T T"
Zr 0.000 0.000 0.000
W 0.000 0.000 2.383
W 0.000 2.383 0.000
W 2.383 0.000 0.000
F 2.383 2.383 2.383
```

Computed properties:
Density of states at the Fermi level in states/eV/atom: 0.9526
Calculated density in Mg/m³: 10.15
E_form (uncorrected) in meV/atom: 2904
Symmetry: Pm-3m (221)

***

A plane-wave DFT calculation with SCAN was carried out for a crystal of Y2Zn2F relaxed with PBEsol.

The structure in extended XYZ format:
```
5
Lattice="-2.800 2.800 3.552 2.800 -2.800 3.552 2.800 2.800 -3.552" Properties=species:S:1:pos:R:3 pbc="T T T"
Y 2.800 0.000 1.776
Y 0.000 2.800 1.776
Zn 0.000 0.000 1.120
Zn 0.000 0.000 5.984
F 0.000 0.000 3.552
```

Computed properties:
Density of states at the Fermi level in states/eV/atom: 0.3641
Calculated density in Mg/m³: 4.88
E_form (uncorrected) in meV/atom: -448
Symmetry: I4/mmm (139)

***

A plane-wave DFT calculation with SCAN was carried out for a crystal of YZn3F relaxed with PBEsol.

The structure in extended XYZ format:
```
5
Lattice="5.675 0.000 0.000 0.000 5.675 0.000 0.000 0.000 5.675" Properties=species:S:1:pos:R:3 pbc="T T T"
Y 0.000 0.000 0.000
Zn 0.000 0.000 2.838
Zn 0.000 2.838 0.000
Zn 2.838 0.000 0.000
F 2.838 2.838 2.838
```

Computed properties:
Density of states at the Fermi level in states/eV/atom: 0.6948
Calculated density in Mg/m³: 2.76
E_form (uncorrected) in meV/atom: 600
Symmetry: Pm-3m (221)

***

A plane-wave DFT calculation with SCAN was carried out for a crystal of YZrF2 relaxed with PBEsol.

The structure in extended XYZ format:
```
4
Lattice="1.582 0.913 7.691 -1.582 0.913 7.691 0.000 -1.827 7.691" Properties=species:S:1:pos:R:3 pbc="T T T"
Y 0.000 0.000 0.000
Zr 0.000 0.000 11.536
F 0.000 0.000 9.330
F 0.000 0.000 13.742
```

Computed properties:
Density of states at the Fermi level in states/eV/atom: 0.5010
Calculated density in Mg/m³: 5.43
E_form (uncorrected) in meV/atom: -2185
Symmetry: R-3m (166)

***

A plane-wave DFT calculation with SCAN was carried out for a crystal of YZr3F15 relaxed with PBEsol.

The structure in extended XYZ format:
```
38
Lattice="5.188 -6.183 0.000 5.188 6.183 0.000 -2.234 0.000 7.747" Properties=species:S:1:pos:R:3 pbc="T T T"
Y 3.513 3.989 5.810
Y 4.630 -3.989 1.937
Zr 4.630 3.126 1.937
Zr 1.480 0.425 5.222
Zr 2.597 -0.425 1.349
Zr 5.546 0.425 6.398
Zr 6.663 -0.425 2.525
Zr 3.513 -3.126 5.810
F -0.258 1.646 6.034
F 0.498 1.273 3.643
F 0.971 0.768 1.149
F 2.086 2.366 5.272
F -0.146 -0.768 5.022
F 3.228 1.671 1.718
F 2.670 3.051 7.714
F -0.619 -1.273 7.517
F 0.859 -1.646 2.161
F 4.356 3.051 3.906
F 1.359 0.203 7.328
F 2.477 -0.203 3.454
F 4.939 2.366 6.348
F 3.513 0.404 5.810
F 2.111 -1.671 5.591
F 6.032 1.671 2.155
F 4.630 -0.404 1.937
F 3.203 -2.366 1.399
F 5.666 0.203 4.293
F 6.783 -0.203 0.419
F 3.787 -3.051 3.841
F 7.283 1.646 5.586
F 8.761 1.273 0.230
F 5.473 -3.051 0.033
F 4.915 -1.671 6.029
F 8.289 0.768 2.725
F 6.056 -2.366 2.475
F 7.171 -0.768 6.598
F 7.644 -1.273 4.103
F 8.401 -1.646 1.712
```

Computed properties:
Density of states at the Fermi level in states/eV/atom: 0.0000
Calculated density in Mg/m³: 4.33
E_form (uncorrected) in meV/atom: -4097
Symmetry: C2/c (15)

***

A plane-wave DFT calculation with SCAN was carried out for a crystal of ZrZnF3 relaxed with PBEsol.

The structure in extended XYZ format:
```
5
Lattice="4.269 0.000 0.000 0.000 4.269 0.000 0.000 0.000 4.269" Properties=species:S:1:pos:R:3 pbc="T T T"
Zr 0.000 0.000 0.000
Zn 2.134 2.134 2.134
F 0.000 0.000 2.134
F 0.000 2.134 0.000
F 2.134 0.000 0.000
```

Computed properties:
Density of states at the Fermi level in states/eV/atom: 0.3955
Calculated density in Mg/m³: 4.56
E_form (uncorrected) in meV/atom: -2498
Symmetry: Pm-3m (221)

***

A plane-wave DFT calculation with SCAN was carried out for a crystal of GdGa8Fe4 relaxed with PBEsol.

The structure in extended XYZ format:
```
13
Lattice="-4.291 4.291 2.491 4.291 -4.291 2.491 4.291 4.291 -2.491" Properties=species:S:1:pos:R:3 pbc="T T T"
Gd 0.000 0.000 0.000
Ga 2.917 0.000 0.000
Ga 5.665 0.000 0.000
Ga 4.291 2.377 0.000
Ga 0.000 2.917 0.000
Ga 2.377 4.291 0.000
Ga 1.914 0.000 2.491
Ga 0.000 5.665 0.000
Ga 0.000 1.914 2.491
Fe 2.145 2.145 -1.245
Fe 2.145 -2.145 1.245
Fe -2.145 2.145 1.245
Fe 2.145 2.145 1.245
```

Computed properties:
Energy of formation in meV per atom: -291
Density of states at the Fermi level in states/eV/atom: 0.5843
Calculated density in Mg/m³: 8.49
Symmetry: I4/mmm (139)

***

A plane-wave DFT calculation with SCAN was carried out for a crystal of GaFeGe relaxed with PBEsol.

The structure in extended XYZ format:
```
12
Lattice="0.000 4.267 7.846 2.464 0.000 7.846 2.464 4.267 0.000" Properties=species:S:1:pos:R:3 pbc="T T T"
Ga 0.616 1.067 0.616
Ga 0.616 1.067 3.307
Ga 4.313 7.467 12.385
Ga 4.313 7.467 15.076
Fe 1.848 3.200 3.869
Fe 3.081 5.334 7.792
Fe 1.848 3.200 7.900
Fe 3.081 5.334 11.822
Ge 1.848 1.822 5.884
Ge 3.081 3.955 9.807
Ge 1.848 4.578 5.884
Ge 3.081 6.712 9.807
```

Computed properties:
Energy of formation in meV per atom: -67
Density of states at the Fermi level in states/eV/atom: 0.5084
Calculated density in Mg/m³: 7.98
Symmetry: Fddd (70)

***

A plane-wave DFT calculation with SCAN was carried out for a crystal of GaFeGeSe2 relaxed with PBEsol.

The structure in extended XYZ format:
```
5
Lattice="4.934 0.000 0.000 0.000 4.934 0.000 0.000 0.000 4.661" Properties=species:S:1:pos:R:3 pbc="T T T"
Ga 0.000 0.000 0.000
Fe 2.467 2.467 2.330
Ge 0.000 0.000 2.330
Se 0.000 2.467 0.000
Se 2.467 0.000 0.000
```

Computed properties:
Density of states at the Fermi level in states/eV/atom: 0.7833
Calculated density in Mg/m³: 5.21
E_form (uncorrected) in meV/atom: 796
Symmetry: P4/mmm (123)

***

A plane-wave DFT calculation with SCAN was carried out for a crystal of Tb4Ga6FeGe6 relaxed with PBEsol.

The structure in extended XYZ format:
```
17
Lattice="-4.233 4.233 4.233 4.233 -4.233 4.233 4.233 4.233 -4.233" Properties=species:S:1:pos:R:3 pbc="T T T"
Tb 2.117 2.117 -2.117
Tb 2.117 -2.117 2.117
Tb -2.117 2.117 2.117
Tb 2.117 2.117 2.117
Ga 4.233 2.117 0.000
Ga 4.233 0.000 2.117
Ga 2.117 4.233 0.000
Ga 2.117 0.000 4.233
Ga 0.000 4.233 2.117
Ga 0.000 2.117 4.233
Fe 0.000 0.000 0.000
Ge 2.437 0.000 0.000
Ge 6.029 0.000 0.000
Ge 0.000 2.437 0.000
Ge 0.000 0.000 2.437
Ge 0.000 6.029 0.000
Ge 0.000 0.000 6.029
```

Computed properties:
Energy of formation in meV per atom: -531
Density of states at the Fermi level in states/eV/atom: 0.3160
Calculated density in Mg/m³: 8.46
Symmetry: Im-3m (229)

***

A plane-wave DFT calculation with SCAN was carried out for a crystal of Y4Ga6FeGe6 relaxed with PBEsol.

The structure in extended XYZ format:
```
17
Lattice="-4.232 4.232 4.232 4.232 -4.232 4.232 4.232 4.232 -4.232" Properties=species:S:1:pos:R:3 pbc="T T T"
Y 2.116 2.116 -2.116
Y 2.116 -2.116 2.116
Y -2.116 2.116 2.116
Y 2.116 2.116 2.116
Ga 4.232 2.116 0.000
Ga 4.232 0.000 2.116
Ga 2.116 4.232 0.000
Ga 2.116 0.000 4.232
Ga 0.000 4.232 2.116
Ga 0.000 2.116 4.232
Fe 0.000 0.000 0.000
Ge 2.437 0.000 0.000
Ge 6.028 0.000 0.000
Ge 0.000 2.437 0.000
Ge 0.000 0.000 2.437
Ge 0.000 6.028 0.000
Ge 0.000 0.000 6.028
```

Computed properties:
Energy of formation in meV per atom: -531
Density of states at the Fermi level in states/eV/atom: 0.3141
Calculated density in Mg/m³: 6.93
Symmetry: Im-3m (229)

***

> The lowest calculated density belongs to which entry?

YZn3F